# 1
Density functional theory data (PBE) for a relaxed structure of Ag3BO3.

Output
For the uncorrected formation energy, the calculation gives -0.897 eV per atom. As for the crystal system: trigonal.

Lattice parameters (Å, degrees): 7.4396 7.4396 7.4396 83.71 83.71 83.71
Positions (direct):
Ag  0.1214  0.6256  0.1265
Ag  0.1265  0.1214  0.6256
Ag  0.1256  0.6214  0.6265
Ag  0.3735  0.8744  0.3786
Ag  0.3744  0.8735  0.8786
Ag  0.3786  0.3735  0.8744
Ag  0.6214  0.6265  0.1256
Ag  0.6256  0.1265  0.1214
Ag  0.6265  0.1256  0.6214
Ag  0.8744  0.3786  0.3735
Ag  0.8735  0.8786  0.3744
Ag  0.8786  0.3744  0.8735
B  0.1246  0.1246  0.1246
B  0.3754  0.3754  0.3754
B  0.6246  0.6246  0.6246
B  0.8754  0.8754  0.8754
O  0.0176  0.8714  0.7381
O  0.1286  0.2619  0.9824
O  0.2381  0.3714  0.5176
O  0.2619  0.9824  0.1286
O  0.3714  0.5176  0.2381
O  0.4824  0.7619  0.6286
O  0.5176  0.2381  0.3714
O  0.6286  0.4824  0.7619
O  0.7381  0.0176  0.8714
O  0.7619  0.6286  0.4824
O  0.8714  0.7381  0.0176
O  0.9824  0.1286  0.2619

---

# 2
Density functional theory data (PBE) for a relaxed structure of CrCdPt2.

Output
The energy relative to the elements is -0.130 eV per atom. As for the crystal system: tetragonal.

Lattice parameters (Å, degrees): 5.0060 5.0060 5.0060 133.34 133.34 68.12
Positions (direct):
Cr  0.0000  0.0000  0.0000
Cd  0.7500  0.2500  0.5000
Pt  0.2500  0.7500  0.5000
Pt  0.5000  0.5000  0.0000

---

# 3
Density functional theory data (PBE) for a relaxed structure of Nd3Tc2N6.

Output
For the uncorrected formation energy, the calculation gives -0.806 eV per atom. As for the crystal system: tetragonal.

Lattice parameters (Å, degrees): 10.1988 10.1988 10.1988 157.77 157.77 31.64
Positions (direct):
Nd  0.0000  0.0000  0.0000
Nd  0.1833  0.1833  0.0000
Nd  0.8167  0.8167  0.0000
Tc  0.4065  0.4065  0.0000
Tc  0.5935  0.5935  0.0000
N  0.0864  0.5864  0.5000
N  0.3022  0.3022  0.0000
N  0.4136  0.9136  0.5000
N  0.5864  0.0864  0.5000
N  0.6978  0.6978  0.0000
N  0.9136  0.4136  0.5000

---

# 4
Density functional theory data (PBE) for a relaxed structure of LaRuSe2.

Output
For the uncorrected formation energy, the calculation gives -0.683 eV per atom. As for the crystal system: cubic.

Lattice parameters (Å, degrees): 4.9762 4.9762 4.9762 60.00 60.00 60.00
Positions (direct):
La  0.0000  0.0000  0.0000
Ru  0.5000  0.5000  0.5000
Se  0.2500  0.2500  0.2500
Se  0.7500  0.7500  0.7500

---

# 5
Density functional theory data (PBE) for a relaxed structure of KCrPb2.

Output
The energy relative to the elements is 0.317 eV per atom. As for the crystal system: monoclinic.

Lattice parameters (Å, degrees): 3.6449 4.5099 7.9415 90.00 90.14 90.00
Positions (direct):
K  0.0000  0.0000  0.0000
Cr  0.0028  0.5000  0.5879
Pb  0.5013  0.5000  0.2916
Pb  0.5026  0.0000  0.5943

---

# 6
Density functional theory data (PBE) for a relaxed structure of BaLaMo2.

Output
The energy relative to the elements is 0.485 eV per atom. As for the crystal system: monoclinic.

Lattice parameters (Å, degrees): 3.3511 3.3811 9.7618 90.00 98.88 90.00
Positions (direct):
Ba  0.0000  0.0000  0.0000
La  0.7974  0.5000  0.6111
Mo  0.1925  0.0000  0.3894
Mo  0.6286  0.5000  0.2645

---

# 7
Density functional theory data (PBE) for a relaxed structure of Mg2BN.

Output
For the uncorrected formation energy, the calculation gives 0.545 eV per atom. As for the crystal system: tetragonal.

Lattice parameters (Å, degrees): 5.2165 5.2165 5.2165 109.91 109.91 108.60
Positions (direct):
Mg  0.0650  0.1250  0.4400
Mg  0.3750  0.9350  0.0600
Mg  0.6850  0.6250  0.5600
Mg  0.8750  0.3150  0.9400
B  0.2500  0.7500  0.5000
B  0.5000  0.5000  0.0000
N  0.0000  0.0000  0.0000
N  0.7500  0.2500  0.5000

---

# 8
Density functional theory data (PBE) for a relaxed structure of LiLa2In.

Output
The energy relative to the elements is 0.180 eV per atom. As for the crystal system: orthorhombic.

Lattice parameters (Å, degrees): 7.1964 7.1964 7.1964 152.66 135.66 52.87
Positions (direct):
Li  0.0000  0.0000  0.0000
La  0.2333  0.2333  0.0000
La  0.7667  0.7667  0.0000
In  0.5000  0.5000  0.0000

---

# 9
Density functional theory data (PBE) for a relaxed structure of MnCdBr4.

Output
For the uncorrected formation energy, the calculation gives -0.818 eV per atom. As for the crystal system: monoclinic.

Lattice parameters (Å, degrees): 6.8261 3.9621 6.9189 90.00 90.10 90.00
Positions (direct):
Mn  0.0000  0.0000  0.0000
Cd  0.0000  0.5000  0.5000
Br  0.2225  0.5000  0.8454
Br  0.2281  0.0000  0.3232
Br  0.7719  0.0000  0.6768
Br  0.7775  0.5000  0.1546

---

# 10
Density functional theory data (PBE) for a relaxed structure of Pm3Pr2Y6Pb.

Output
The energy relative to the elements is -0.076 eV per atom. As for the crystal system: monoclinic.

Lattice parameters (Å, degrees): 6.2020 6.2020 11.8507 95.03 95.03 120.00
Positions (direct):
Pm  0.0000  0.0000  0.0000
Pm  0.3325  0.6675  0.0000
Pm  0.6675  0.3325  0.0000
Pr  0.1662  0.8338  0.5000
Pr  0.8338  0.1662  0.5000
Y  0.0927  0.4183  0.2524
Y  0.2566  0.2566  0.7484
Y  0.4183  0.0927  0.2524
Y  0.5817  0.9073  0.7476
Y  0.7434  0.7434  0.2516
Y  0.9073  0.5817  0.7476
Pb  0.5000  0.5000  0.5000

---

# 11
Density functional theory data (PBE) for a relaxed structure of BaTlHg6.

Output
The energy relative to the elements is -0.224 eV per atom. As for the crystal system: orthorhombic.

Lattice parameters (Å, degrees): 5.3188 7.0307 7.0307 65.12 90.00 90.00
Positions (direct):
Ba  0.0000  0.0000  0.0000
Tl  0.5000  0.7212  0.7212
Hg  0.0000  0.0494  0.4828
Hg  0.0000  0.4828  0.0494
Hg  0.0000  0.5389  0.5389
Hg  0.5000  0.1939  0.1939
Hg  0.5000  0.2382  0.6539
Hg  0.5000  0.6539  0.2382

---

# 12
Density functional theory data (PBE) for a relaxed structure of Ga2Cu2Se5.

Output
For the uncorrected formation energy, the calculation gives -0.255 eV per atom. As for the crystal system: monoclinic.

Lattice parameters (Å, degrees): 8.7191 8.7191 6.5958 108.38 108.38 25.30
Positions (direct):
Ga  0.1365  0.1365  0.3185
Ga  0.8635  0.8635  0.6815
Cu  0.4159  0.4159  0.1398
Cu  0.5841  0.5841  0.8602
Se  0.0000  0.0000  0.0000
Se  0.0813  0.0813  0.6217
Se  0.2966  0.2966  0.7908
Se  0.7034  0.7034  0.2092
Se  0.9187  0.9187  0.3783

---

# 13
Density functional theory data (PBE) for a relaxed structure of EuPb2Au.

Output
The energy relative to the elements is -0.266 eV per atom. As for the crystal system: cubic.

Lattice parameters (Å, degrees): 5.3595 5.3595 5.3595 60.00 60.00 60.00
Positions (direct):
Eu  0.0000  0.0000  0.0000
Pb  0.2500  0.2500  0.2500
Pb  0.7500  0.7500  0.7500
Au  0.5000  0.5000  0.5000

---

# 14
Density functional theory data (PBE) for a relaxed structure of KSbNF2.

Output
For the uncorrected formation energy, the calculation gives 0.069 eV per atom. As for the crystal system: tetragonal.

Lattice parameters (Å, degrees): 4.5469 4.5469 4.9411 90.00 90.00 90.00
Positions (direct):
K  0.0000  0.0000  0.0000
Sb  0.5000  0.5000  0.5000
N  0.0000  0.0000  0.5000
F  0.0000  0.5000  0.0000
F  0.5000  0.0000  0.0000

---

# 15
Density functional theory data (PBE) for a relaxed structure of ThZrPdRu.

Output
The energy relative to the elements is -0.467 eV per atom. As for the crystal system: cubic.

Lattice parameters (Å, degrees): 4.8948 4.8948 4.8948 60.00 60.00 60.00
Positions (direct):
Th  0.0000  0.0000  0.0000
Zr  0.5000  0.5000  0.5000
Pd  0.2500  0.2500  0.2500
Ru  0.7500  0.7500  0.7500

---

# 16
Density functional theory data (PBE) for a relaxed structure of Li2TlGaH.

Output
As for the crystal system: tetragonal.

Lattice parameters (Å, degrees): 4.0829 4.0829 5.0764 90.00 90.00 90.00
Positions (direct):
Li  0.0000  0.5000  0.0000
Li  0.5000  0.0000  0.0000
Tl  0.0000  0.0000  0.5000
Ga  0.5000  0.5000  0.5000
H  0.0000  0.0000  0.0000

---

# 17
Density functional theory data (PBE) for a relaxed structure of ErHfCd2.

Output
The energy relative to the elements is -0.084 eV per atom. As for the crystal system: tetragonal.

Lattice parameters (Å, degrees): 3.5866 3.5866 7.2261 90.00 90.00 90.00
Positions (direct):
Er  0.0000  0.0000  0.0000
Hf  0.0000  0.0000  0.5000
Cd  0.5000  0.5000  0.2676
Cd  0.5000  0.5000  0.7324

---

# 18
Density functional theory data (PBE) for a relaxed structure of ReSi2C2.

Output
For the uncorrected formation energy, the calculation gives 1.532 eV per atom. As for the crystal system: tetragonal.

Lattice parameters (Å, degrees): 4.7664 4.7664 4.7664 134.25 134.25 66.70
Positions (direct):
Re  0.0000  0.0000  0.0000
Si  0.2500  0.7500  0.5000
Si  0.7500  0.2500  0.5000
C  0.4145  0.4145  0.0000
C  0.5855  0.5855  0.0000

---

# 19
Density functional theory data (PBE) for a relaxed structure of GdLuAg4.

Output
The energy relative to the elements is -0.171 eV per atom. As for the crystal system: cubic.

Lattice parameters (Å, degrees): 5.6873 5.6873 5.6873 60.00 60.00 60.00
Positions (direct):
Gd  0.0000  0.0000  0.0000
Lu  0.7500  0.7500  0.7500
Ag  0.3753  0.3753  0.3753
Ag  0.3753  0.3753  0.8742
Ag  0.3753  0.8742  0.3753
Ag  0.8742  0.3753  0.3753

---

# 20
Density functional theory data (PBE) for a relaxed structure of HoErTl2Se4.

Output
For the uncorrected formation energy, the calculation gives -1.382 eV per atom. As for the crystal system: monoclinic.

Lattice parameters (Å, degrees): 7.2066 4.1607 8.1398 90.00 107.16 90.00
Positions (direct):
Ho  0.0000  0.0000  0.0000
Er  0.5000  0.5000  0.0000
Tl  0.0000  0.5000  0.5000
Tl  0.5000  0.0000  0.5000
Se  0.2352  0.5000  0.2030
Se  0.2668  0.0000  0.7974
Se  0.7332  0.0000  0.2026
Se  0.7648  0.5000  0.7970

---

| no. | final energy (eV per atom) |
| --- | --- |
| 1 | -5.20 |
| 2 | -5.78 |
| 3 | -8.53 |
| 4 | -5.98 |
| 5 | -4.22 |
| 6 | -6.64 |
| 7 | -4.00 |
| 8 | -3.45 |
| 9 | -3.61 |
| 10 | -5.60 |
| 11 | -0.99 |
| 12 | -3.77 |
| 13 | -5.51 |
| 14 | -3.39 |
| 15 | -8.08 |
| 16 | -2.58 |
| 17 | -4.17 |
| 18 | -6.82 |
| 19 | -5.17 |
| 20 | -4.86 |